# 1
The following is a PBE calculation of a geometry-optimized Sr2CeMnSe5 structure, from Alexandria.

Cell lengths 9.3647, 9.3647, 12.9041 Å; angles 90.00, 90.00, 153.68 degrees
Last column: nearest neighbours and their distance in Å.
Element x y z (fractional)
Sr: 0.1124 0.8876 0.5000  8 Se 3.16-3.48
Sr: 0.1187 0.8813 0.1449  6 Se 3.13-3.32
Sr: 0.8813 0.1187 0.6449  6 Se 3.13-3.32
Sr: 0.8876 0.1124 0.0000  8 Se 3.16-3.48
Ce: 0.2030 0.7970 0.8389  6 Se 2.83-2.94
Ce: 0.7970 0.2030 0.3389  6 Se 2.83-2.94
Mn: 0.4424 0.5576 0.2468  4 Se 2.42-2.54
Mn: 0.5576 0.4424 0.7468  4 Se 2.42-2.54
Se: 0.0435 0.9565 0.8457  2 Mn 2.50
Se: 0.2953 0.7047 0.4894  2 Ce 2.88
Se: 0.3103 0.6897 0.1834  1 Mn 2.54
Se: 0.3576 0.6424 0.8239  1 Ce 2.83, 2 Sr 3.16
Se: 0.4979 0.5021 0.5794  1 Mn 2.42
Se: 0.5021 0.4979 0.0794  1 Mn 2.42
Se: 0.6424 0.3576 0.3239  1 Ce 2.83, 2 Sr 3.16
Se: 0.6897 0.3103 0.6834  1 Mn 2.54
Se: 0.7047 0.2953 0.9894  2 Ce 2.88
Se: 0.9565 0.0435 0.3457  2 Mn 2.50

Output
DOS(E_F), states/eV/cell: 6.8
Spin magnetization, μB/f.u.: 5.0
Formation energy (no corrections), eV/atom: -1.548

# 2
The following is a PBE calculation of a geometry-optimized LiHg2Pb2O6 structure, from Alexandria.

Cell lengths 5.9597, 5.9597, 6.0998 Å; angles 90.55, 90.55, 121.79 degrees
Last column: nearest neighbours and their distance in Å.
Element x y z (fractional)
Li: 0.0000 0.0000 0.0000  6 O 2.11-2.36
Hg: 0.1554 0.8446 0.5000  2 O 2.07
Hg: 0.8446 0.1554 0.5000  2 O 2.07
Pb: 0.3450 0.6550 0.0000  6 O 2.20-2.32
Pb: 0.6550 0.3450 0.0000  6 O 2.20-2.32
O: 0.0244 0.6716 0.1920  1 Hg 2.07, 1 Pb 2.30
O: 0.3200 0.3200 0.1717  1 Li 2.11, 2 Pb 2.20
O: 0.3284 0.9756 0.8080  1 Hg 2.07, 1 Pb 2.30
O: 0.6716 0.0244 0.1920  1 Hg 2.07, 1 Pb 2.30
O: 0.6800 0.6800 0.8283  1 Li 2.11, 2 Pb 2.20
O: 0.9756 0.3284 0.8080  1 Hg 2.07, 1 Pb 2.30

Output
DOS(E_F), states/eV/cell: 1.3
Spin magnetization, μB/f.u.: 0.0
Formation energy (no corrections), eV/atom: -0.783

# 3
The following is a PBE calculation of a geometry-optimized Li2OsO6 structure, from Alexandria.

Cell lengths 4.7347, 4.7347, 9.1314 Å; angles 90.00, 90.00, 90.00 degrees
Last column: nearest neighbours and their distance in Å.
Element x y z (fractional)
Li: 0.0000 0.0000 0.1636  6 O 2.06-2.18
Li: 0.0000 0.0000 0.8364  6 O 2.06-2.18
Li: 0.5000 0.5000 0.3364  6 O 2.06-2.18
Li: 0.5000 0.5000 0.6636  6 O 2.06-2.18
Os: 0.0000 0.0000 0.5000  6 O 1.85-1.88
Os: 0.5000 0.5000 0.0000  6 O 1.85-1.88
O: 0.1935 0.1935 0.3559  1 Os 1.85, 1 Li 2.06
O: 0.1935 0.1935 0.6441  1 Os 1.85, 1 Li 2.06
O: 0.2192 0.2192 0.0000  1 Os 1.88, 2 Li 2.09
O: 0.2808 0.7192 0.5000  1 Os 1.88, 2 Li 2.09
O: 0.3065 0.6935 0.1441  1 Os 1.85, 1 Li 2.06
O: 0.3065 0.6935 0.8559  1 Os 1.85, 1 Li 2.06
O: 0.6935 0.3065 0.1441  1 Os 1.85, 1 Li 2.06
O: 0.6935 0.3065 0.8559  1 Os 1.85, 1 Li 2.06
O: 0.7192 0.2808 0.5000  1 Os 1.88, 2 Li 2.09
O: 0.7808 0.7808 0.0000  1 Os 1.88, 2 Li 2.09
O: 0.8065 0.8065 0.3559  1 Os 1.85, 1 Li 2.06
O: 0.8065 0.8065 0.6441  1 Os 1.85, 1 Li 2.06

Output
Offset from the most stable computed form, meV per atom: 47.3
DOS(E_F), states/eV/cell: 7.5
Spin magnetization, μB/f.u.: 2.0
Formation energy (no corrections), eV/atom: -0.916

# 4
The following is a PBE calculation of a geometry-optimized Te2Os structure, from Alexandria.

Cell lengths 5.5845, 5.5845, 5.5845 Å; angles 107.35, 107.35, 113.79 degrees
Last column: nearest neighbours and their distance in Å.
Element x y z (fractional)
Te: 0.1770 0.6770 0.8540  4 Os 2.87
Te: 0.3230 0.1770 0.5000  4 Os 2.87
Te: 0.6770 0.8230 0.5000  4 Os 2.87
Te: 0.8230 0.3230 0.1460  4 Os 2.87
Os: 0.2500 0.2500 0.0000  8 Te 2.87, 2 Os 3.05
Os: 0.7500 0.7500 0.0000  8 Te 2.87, 2 Os 3.05

Output
DOS(E_F), states/eV/cell: 4.7
Spin magnetization, μB/f.u.: 0.0
Formation energy (no corrections), eV/atom: 0.543